Entry from Alexandria: crystalline KCaCeMnO6 at its relaxed geometry (PBE with a Hubbard U).

The structure in POSCAR format:
```
KCaCeMnO6
1.0
0.0000 4.1147 4.1147
4.1147 0.0000 4.1147
4.1147 4.1147 0.0000
K Ca Ce Mn O
1 1 1 1 6
Direct
0.0000 0.0000 0.0000 K
0.5000 0.5000 0.5000 Ca
0.7500 0.7500 0.7500 Ce
0.2500 0.2500 0.2500 Mn
0.0177 0.0177 0.4823 O
0.0177 0.4823 0.0177 O
0.0177 0.4823 0.4823 O
0.4823 0.0177 0.0177 O
0.4823 0.0177 0.4823 O
0.4823 0.4823 0.0177 O
```

Results
**Density**: 4.41 g cm⁻³
**Symmetry**: No. 216
**Magnetization**: 4.02 μB per formula unit
**D(E_F)**: 4.7 states/eV/f.u.
**Total energy**: -67.59 eV per cell